*one*
A relaxed structure of LiOs2Au2. Source: the Alexandria database, functional PBE-GGA.

Lattice parameters (Å, degrees): 3.539 3.539 14.273 90.00 90.00 90.00
Space group I4/mmm (No. 139)
Unique sites:
1 Li 0.000 0.000 0.000 (multiplicity 2)
2 Os 0.000 0.500 0.250 (multiplicity 4)
3 Au 0.000 0.000 0.407 (multiplicity 4)

*two*
A relaxed structure of LiOs2Au2. Source: the Alexandria database, functional PBE-GGA.

Lattice parameters (Å, degrees): 8.138 8.138 2.715 90.00 90.00 90.00
Space group P4/mbm (No. 127)
Unique sites:
1 Li 0.000 0.000 0.000 (multiplicity 2)
2 Os 0.105 0.395 0.500 (multiplicity 4)
3 Au 0.192 0.692 0.000 (multiplicity 4)

It is *two* that is the least stable of them.

*one*
A relaxed structure of Li4PAu. Source: the Alexandria database, functional PBE-GGA.

Lattice parameters (Å, degrees): 2.764 4.145 7.381 90.00 90.00 90.00
Space group Pmmm (No. 47)
Unique sites:
1 Li 0.000 0.000 0.156 (multiplicity 2)
2 Li 0.000 0.500 0.322 (multiplicity 2)
3 P 0.500 0.500 0.000 (multiplicity 1)
4 Au 0.500 0.000 0.500 (multiplicity 1)

*two*
A relaxed structure of Li4PAu. Source: the Alexandria database, functional PBE-GGA.

Lattice parameters (Å, degrees): 7.013 7.013 7.013 90.00 90.00 90.00
Space group F-43m (No. 216)
Unique sites:
1 Li 0.125 0.125 0.125 (multiplicity 16)
2 P 0.250 0.250 0.750 (multiplicity 4)
3 Au 0.000 0.000 0.500 (multiplicity 4)

It is *two* that is the least stable of them.

*one*
A relaxed structure of LiPAuS2. Source: the Alexandria database, functional PBE-GGA.

Lattice parameters (Å, degrees): 4.450 4.450 4.369 90.00 90.00 90.00
Space group P4/mmm (No. 123)
Unique sites:
1 Li 0.000 0.000 0.000 (multiplicity 1)
2 P 0.000 0.000 0.500 (multiplicity 1)
3 Au 0.500 0.500 0.500 (multiplicity 1)
4 S 0.000 0.500 0.000 (multiplicity 2)

*two*
A relaxed structure of LiPAuS2. Source: the Alexandria database, functional PBE-GGA.

Lattice parameters (Å, degrees): 5.105 5.105 4.585 90.00 90.00 90.00
Space group P4/mmm (No. 123)
Unique sites:
1 Li 0.000 0.000 0.000 (multiplicity 1)
2 P 0.500 0.500 0.000 (multiplicity 1)
3 Au 0.500 0.500 0.500 (multiplicity 1)
4 S 0.000 0.500 0.500 (multiplicity 2)

It is *one* that is the least stable of them.

*one*
A relaxed structure of Li3PbAu2. Source: the Alexandria database, functional PBE-GGA.

Lattice parameters (Å, degrees): 3.339 3.339 9.413 90.00 90.00 90.00
Space group P4/mmm (No. 123)
Unique sites:
1 Li 0.000 0.000 0.000 (multiplicity 1)
2 Li 0.000 0.000 0.300 (multiplicity 2)
3 Pb 0.500 0.500 0.500 (multiplicity 1)
4 Au 0.500 0.500 0.156 (multiplicity 2)

*two*
A relaxed structure of Li3PbAu2. Source: the Alexandria database, functional PBE-GGA.

Lattice parameters (Å, degrees): 15.359 4.753 5.958 90.00 90.19 90.00
Space group C2/m (No. 12)
Unique sites:
1 Li 0.046 0.000 0.248 (multiplicity 4)
2 Li 0.149 0.500 0.462 (multiplicity 4)
3 Li 0.150 0.500 0.038 (multiplicity 4)
4 Pb 0.159 0.000 0.749 (multiplicity 4)
5 Au 0.017 0.500 0.751 (multiplicity 4)
6 Au 0.213 0.000 0.250 (multiplicity 4)

It is *two* that is the least stable of them.